A relaxed structure of TmPuSnPt. Source: Alexandria via LeMat-Bulk, functional PBE.

Symmetry = F-43m
E_form = -60 kJ per mole of atoms
Magnetic moment = 5.25 μB per formula unit

Geometry as POSCAR:
```
TmPuSnPt
1.0
-2.3150 -4.0261 -2.1864
2.7844 -4.0046 -1.5999
-0.2686 -4.4753 2.4997
Tm Sn Pt Pu
1 1 1 1
Direct
0.5000 0.5000 0.5000 Tm
0.2500 0.2500 0.2500 Sn
0.7500 0.7500 0.7500 Pt
0.0000 0.0000 0.0000 Pu
```

---

A relaxed structure of CaPm4Sm2Ho. Source: Alexandria via LeMat-Bulk, functional PBE.

Symmetry = C2/c
E_form = 37 kJ per mole of atoms
Magnetic moment = 0.00 μB per formula unit

Geometry as POSCAR:
```
CaPm4Sm2Ho
1.0
-5.9802 6.6378 3.7672
1.0190 -3.5716 8.9566
8.3983 1.3432 -8.6845
Ca Pm Sm Ho
2 8 4 2
Direct
0.5000 0.5000 0.5000 Ca
0.0000 0.0000 0.0000 Ca
0.2518 0.7465 0.0177 Pm
0.7535 0.2482 0.4823 Pm
0.2465 0.7518 0.5177 Pm
0.7482 0.2535 0.9823 Pm
0.7468 0.7429 0.0082 Pm
0.7571 0.7532 0.4918 Pm
0.2429 0.2469 0.5082 Pm
0.2532 0.2571 0.9918 Pm
0.5000 0.0000 0.0000 Sm
0.5000 0.0000 0.5000 Sm
0.0000 0.0000 0.5000 Sm
0.5000 0.5000 0.0000 Sm
0.0000 0.5000 0.0000 Ho
0.0000 0.5000 0.5000 Ho
```

---

A relaxed structure of CdTe3Pd. Source: Alexandria via LeMat-Bulk, functional PBE.

Symmetry = Pm-3m
Raw formation energy = 258 meV/atom
Magnetic moment = 0.00 μB per formula unit

Geometry as POSCAR:
```
CdTe3Pd
1.0
5.3288 0.0000 0.0000
0.0000 5.3288 0.0000
0.0000 0.0000 5.3288
Te Pd Cd
3 1 1
Direct
0.0000 0.5000 0.0000 Te
0.0000 0.0000 0.5000 Te
0.5000 0.0000 0.0000 Te
0.0000 0.0000 0.0000 Pd
0.5000 0.5000 0.5000 Cd
```

---

A relaxed structure of PmSbO4. Source: Alexandria via LeMat-Bulk, functional PBE.

Symmetry = I4_1/a
Raw formation energy = -2307 meV/atom
Magnetic moment = 0.00 μB per formula unit

Geometry as POSCAR:
```
PmSbO4
1.0
5.3634 0.0000 0.0000
0.0000 5.3634 0.0000
-2.6817 -2.6817 5.7523
Pm Sb O
2 2 8
Direct
0.0000 0.0000 0.0000 Pm
0.7500 0.2500 0.5000 Pm
0.5000 0.5000 0.0000 Sb
0.2500 0.7500 0.5000 Sb
0.9881 0.9132 0.3251 O
0.1619 0.2381 0.8251 O
0.6632 0.5870 0.8251 O
0.3370 0.4119 0.3251 O
0.4130 0.8381 0.1749 O
0.0868 0.6630 0.6749 O
0.5881 0.0119 0.6749 O
0.7619 0.3368 0.1749 O
```

---

A relaxed structure of InFeNi. Source: Alexandria via LeMat-Bulk, functional PBE.

Symmetry = I4mm
E_form = 11 kJ per mole of atoms
Magnetic moment = 3.10 μB per formula unit

Geometry as POSCAR:
```
InFeNi
1.0
-1.9254 -1.8934 -4.5932
1.0246 -2.4541 -4.6172
-0.5503 -2.9173 0.4518
Fe In Ni
1 1 1
Direct
0.9784 0.9784 0.0216 Fe
0.6702 0.6702 0.3298 In
0.3514 0.3514 0.6486 Ni
```

---

A relaxed structure of DyThAg. Source: Alexandria via LeMat-Bulk, functional PBE.

Symmetry = I4mm
E_form = -10 kJ per mole of atoms
Magnetic moment = 0.00 μB per formula unit

Geometry as POSCAR:
```
DyThAg
1.0
-3.3377 -0.8229 -1.0804
-0.0667 -2.7639 2.3111
-0.7071 5.6311 3.9047
Ag Th Dy
1 1 1
Direct
0.6749 0.6749 0.3497 Ag
0.0085 0.0085 0.0171 Th
0.3166 0.3166 0.6332 Dy
```

---

A relaxed structure of NiHI2N. Source: Alexandria via LeMat-Bulk, functional PBE.

Symmetry = P4/mmm
Magnetic moment = 0.00 μB per formula unit
Energy = -2.780 eV/atom

Geometry as POSCAR:
```
NiHI2N
1.0
-4.0374 1.6629 -2.9660
2.5968 -1.4646 -4.3560
-1.1902 -2.5975 0.1638
I Ni H N
2 1 1 1
Direct
0.0000 0.5000 0.0000 I
0.5000 0.0000 0.0000 I
0.5000 0.5000 0.5000 Ni
0.0000 0.0000 0.0000 H
0.0000 0.0000 0.5000 N
```

---

A relaxed structure of Mn4Fe3. Source: Alexandria via LeMat-Bulk, functional PBE.

Symmetry = P6/mmm
E_form = 15 kJ per mole of atoms
Magnetic moment = 5.96 μB per formula unit

Geometry as POSCAR:
```
Mn4Fe3
1.0
2.3905 3.7904 0.6846
-4.5308 0.1503 -0.0207
-0.0454 -0.7649 4.3939
Mn Fe
4 3
Direct
0.0000 0.0000 0.2660 Mn
0.0000 0.0000 0.7340 Mn
0.6667 0.3333 0.5000 Mn
0.3333 0.6667 0.5000 Mn
0.0000 0.5000 0.0000 Fe
0.5000 0.5000 0.0000 Fe
0.5000 0.0000 0.0000 Fe
```

---

A relaxed structure of SrSmAu. Source: Alexandria via LeMat-Bulk, functional PBE.

Symmetry = P3m1
E_form = -32 kJ per mole of atoms
Magnetic moment = 0.00 μB per formula unit

Geometry as POSCAR:
```
SrSmAu
1.0
4.7099 0.0000 0.0000
0.0000 4.9969 0.0000
0.0000 -2.4985 4.3275
Sr Au Sm
1 1 1
Direct
0.6367 0.6667 0.3333 Sr
0.2312 0.3333 0.6667 Au
0.1321 0.0000 0.0000 Sm
```

---

A relaxed structure of LaMnRe. Source: Alexandria via LeMat-Bulk, functional PBE.

Symmetry = I4mm
E_form = 28 kJ per mole of atoms
Magnetic moment = 0.00 μB per formula unit

Geometry as POSCAR:
```
LaMnRe
1.0
6.3989 0.0075 -0.0079
5.6667 2.9725 -0.0018
0.7323 0.1749 2.9598
La Mn Re
1 1 1
Direct
0.9977 0.9977 0.0023 La
0.2984 0.2984 0.7016 Mn
0.7039 0.7039 0.2961 Re
```

---

A relaxed structure of Er3Tm3In. Source: Alexandria via LeMat-Bulk, functional PBE.

Symmetry = Pnma
E_form = 0 kJ per mole of atoms
Magnetic moment = 0.00 μB per formula unit

Geometry as POSCAR:
```
Er3Tm3In
1.0
-1.3254 1.7857 4.6225
-12.5433 -2.6449 -2.5749
1.4338 -11.5397 4.8689
Er Tm In
12 12 4
Direct
0.7500 0.6721 0.7634 Er
0.2500 0.8279 0.2634 Er
0.2500 0.3279 0.2366 Er
0.7500 0.1721 0.7366 Er
0.7500 0.1884 0.1348 Er
0.2500 0.3116 0.6348 Er
0.2500 0.8116 0.8652 Er
0.7500 0.6884 0.3652 Er
0.7500 0.9125 0.6886 Er
0.2500 0.5875 0.1886 Er
0.2500 0.0875 0.3114 Er
0.7500 0.4125 0.8114 Er
0.7500 0.9781 0.9325 Tm
0.2500 0.5219 0.4325 Tm
0.2500 0.0219 0.0675 Tm
0.7500 0.4781 0.5675 Tm
0.7500 0.9477 0.4284 Tm
0.2500 0.5523 0.9284 Tm
0.2500 0.0523 0.5716 Tm
0.7500 0.4477 0.0716 Tm
0.7500 0.7230 0.0532 Tm
0.2500 0.7770 0.5532 Tm
0.2500 0.2770 0.9468 Tm
0.7500 0.2230 0.4468 Tm
0.7500 0.9478 0.1836 In
0.2500 0.5522 0.6836 In
0.2500 0.0522 0.8164 In
0.7500 0.4478 0.3164 In
```

---

A relaxed structure of PrB2C2. Source: Alexandria via LeMat-Bulk, functional PBE.

Symmetry = P4/mbm
E_form = -38 kJ per mole of atoms
Magnetic moment = 0.00 μB per formula unit

Geometry as POSCAR:
```
PrB2C2
1.0
-1.8008 -4.3082 2.7196
-0.2419 -2.8089 -4.6099
3.6571 -1.1915 0.5341
Pr B C
2 4 4
Direct
0.5000 0.5000 0.0000 Pr
0.0000 0.0000 0.0000 Pr
0.1382 0.6382 0.5000 B
0.6382 0.8618 0.5000 B
0.8618 0.3618 0.5000 B
0.3618 0.1382 0.5000 B
0.8396 0.6604 0.5000 C
0.3396 0.8396 0.5000 C
0.6604 0.1604 0.5000 C
0.1604 0.3396 0.5000 C
```

---

A relaxed structure of YTaIr2. Source: Alexandria via LeMat-Bulk, functional PBE.

Symmetry = P4mm
E_form = -23 kJ per mole of atoms
Magnetic moment = 0.00 μB per formula unit

Geometry as POSCAR:
```
YTaIr2
1.0
-0.3628 -3.5778 0.8237
2.5653 -0.8392 -2.5150
4.1649 0.5162 4.0760
Ir Ta Y
2 1 1
Direct
0.0000 0.0000 0.9773 Ir
0.5000 0.5000 0.3125 Ir
0.0000 0.0000 0.4106 Ta
0.5000 0.5000 0.7996 Y
```

---

A relaxed structure of NpNi3As2. Source: Alexandria via LeMat-Bulk, functional PBE.

Symmetry = C2/m
E_form = -38 kJ per mole of atoms
Magnetic moment = 3.99 μB per formula unit

Geometry as POSCAR:
```
NpNi3As2
1.0
-2.8114 -1.1739 -2.3798
6.4002 -2.6627 -3.1073
-2.7214 -4.1006 5.2376
Np Ni As
2 6 4
Direct
0.8519 0.7038 0.9339 Np
0.1481 0.2962 0.0661 Np
0.3119 0.6239 0.5540 Ni
0.9542 0.9084 0.6135 Ni
0.5952 0.1905 0.6687 Ni
0.4048 0.8095 0.3313 Ni
0.0458 0.0916 0.3865 Ni
0.6881 0.3761 0.4460 Ni
0.4793 0.9586 0.8071 As
0.5207 0.0414 0.1929 As
0.8053 0.6107 0.3025 As
0.1947 0.3893 0.6975 As
```

---

A relaxed structure of Na2PuN2. Source: Alexandria via LeMat-Bulk, functional PBE.

Symmetry = C2/m
Raw formation energy = -627 meV/atom
Magnetic moment = 3.35 μB per formula unit

Geometry as POSCAR:
```
Na2PuN2
1.0
-3.0296 0.3387 1.7180
-0.3643 -1.3831 3.1939
1.0567 8.2142 3.8075
Na Pu N
2 1 2
Direct
0.5285 0.7455 0.1974 Na
0.4715 0.2545 0.8026 Na
0.0000 0.5000 0.5000 Pu
0.7425 0.1328 0.3823 N
0.2575 0.8672 0.6177 N
```

---

no.,volume (Å³/f.u.)
1,96
2,281
3,151
4,83
5,44
6,83
7,80
8,79
9,102
10,56
11,211
12,57
13,80
14,92
15,94